## LiMg2Re (GGA-PBE)

Data for LiMg2Re after structural relaxation.

## Properties
Total magnetization in μB/atom: 0.000
Space group: P4/mmm (123)
Calculated density in g/cm3: 5.95
Energy relative to the elements in eV/atom: 0.2712
Distance to the lowest polymorph of the same formula in eV per atom: 0.090
N(E_F) in states/eV/f.u.: 1.79

Structure (POSCAR):
```
LiMg2Re
1.0
4.874 0.000 0.000
0.000 4.874 0.000
0.000 0.000 2.838
Mg Re Li
2 1 1
Direct
0.000 0.000 0.000
0.500 0.500 0.000
0.500 0.000 0.500
0.000 0.500 0.500
```

***

## LaNd2Sm (GGA-PBE)

Data for LaNd2Sm after structural relaxation.

## Properties
Total magnetization in μB/atom: 0.000
Space group: R3m (160)
Calculated density in g/cm3: 6.76
Energy relative to the elements in eV/atom: 0.0172
Distance to the lowest polymorph of the same formula in eV per atom: 0.002
N(E_F) in states/eV/f.u.: 6.24

Structure (POSCAR):
```
LaNd2Sm
1.0
3.690 0.000 0.001
1.845 3.196 0.001
1.848 1.067 12.036
Sm Nd La
1 2 1
Direct
0.666 0.666 0.000
0.082 0.082 0.755
0.252 0.252 0.245
0.500 0.500 0.500
```

***

## CdGeRuC2 (GGA-PBE)

Data for CdGeRuC2 after structural relaxation.

## Properties
Total magnetization in μB/atom: 0.000
Space group: P4/mmm (123)
Calculated density in g/cm3: 5.89
Energy relative to the elements in eV/atom: 2.7608
N(E_F) in states/eV/f.u.: 5.74

Structure (POSCAR):
```
CdGeRuC2
1.0
-0.608 -2.363 -3.239
-1.419 -4.006 3.190
-3.860 1.230 -0.173
Cd Ru C Ge
1 1 2 1
Direct
0.000 0.000 0.000
0.000 0.500 0.000
0.500 0.000 0.000
0.000 0.000 0.500
0.500 0.500 0.500
```

***

> Look up the calculated density of the first one.

5.95 g/cm3

***

> Look up the energy relative to the elements of the second one.

0.0172 eV/atom

***

> What is the energy relative to the elements in the second record?

0.0172 eV/atom